The following is a DFT calculation (meta-GGA SCAN) of a crystal of NaCdTe2 relaxed with PBEsol.

abc: 3.3062 3.3062 11.4428
angles: 81.69 81.69 60.00
Fractional coordinates of all 4 atoms:
1 Na 0.5000 0.5000 0.5000
2 Cd 0.0000 0.0000 0.0000
3 Te 0.9076 0.9076 0.2772
4 Te 0.0924 0.0924 0.7228

Values from the calculation:
ΔE_f (raw), eV per atom: -0.164
Density of states at the Fermi level, states/eV/f.u.: 2.03
Crystal system: trigonal
Final energy, eV/atom: -27.447
Size of the total moment, μB per atom: 0.00